Computed, not measured: crystalline ZnGa3O at its relaxed geometry at the PBE-GGA level of DFT.

Cell and atoms, written as CIF:
```
data_ZnGa3O
_chemical_formula_sum 'Zn1 Ga3 O1'
_space_group_name_H-M_alt 'P m -3 m'
_space_group_IT_number 221
_space_group_name_Hall '-P 4 2 3'
_cell_length_a 4.7188
_cell_length_b 4.7188
_cell_length_c 4.7188
_cell_angle_alpha 90.00
_cell_angle_beta 90.00
_cell_angle_gamma 90.00
loop_
_atom_site_label
_atom_site_type_symbol
_atom_site_fract_x
_atom_site_fract_y
_atom_site_fract_z
Zn1 Zn 0.0000 0.0000 0.0000
Ga1 Ga 0.0000 0.0000 0.5000
O1 O 0.5000 0.5000 0.5000
```

Summary:
- distance to the lowest polymorph of the same formula (kJ/mol of formula units) = 269
- magnetic moment (μB/cell) = 0.00
- total DFT energy (no corrections) (eV per cell) = -13.05